! MgAgBr2, relaxed, DFT PBE-GGA; values from VASP
! Calculated volume   129.9 Å³/cell
! D(E_F)   1.61 states/eV per cell
! Energy above the most stable polymorph in this dataset   146 meV/atom
! Space-group type   Immm (71)
&SYSTEM
  ibrav = 0, nat = 4, ntyp = 3
/
ATOMIC_SPECIES
Mg 24.30 Mg.upf
Ag 107.87 Ag.upf
Br 79.90 Br.upf
ATOMIC_POSITIONS angstrom
Mg 0.000 0.000 0.000
Ag 0.000 0.000 6.720
Br 1.794 0.000 1.858
Br 0.000 2.694 4.862
CELL_PARAMETERS angstrom
-1.794 2.694 6.720
1.794 -2.694 6.720
1.794 2.694 -6.720